## Tb6Dy7 (PBE-GGA)

Data for a geometry-optimized Tb6Dy7 structure.

a = 6.5292 Å, b = 6.5292 Å, c = 34.7736 Å
α = 90.00°, β = 90.00°, γ = 120.00°
With the nearest neighbours (Å) after each atom.
Space group R-3m (No. 166, hexagonal axes)
Unique sites:
Tb 0.0000 0.0000 0.0465  2 Tb 3.23-3.55, 6 Dy 3.56
Tb 0.0000 0.0000 0.1487  4 Tb 3.55-3.97, 12 Dy 3.82-3.90
Tb 0.0000 0.0000 0.3338  6 Dy 3.57-3.58, 3 Tb 3.77
Dy 0.0000 0.0000 0.5000  6 Dy 3.35
Dy 0.0043 0.5022 0.9126  5 Dy 3.22-3.35, 4 Tb 3.56-3.58

Size of the total moment in μB/cell: 16.61
Formation energy in eV/atom: 0.27



## Tb5Dy6 (PBE-GGA)

Data for a geometry-optimized Tb5Dy6 structure.

a = 9.0717 Å, b = 12.9668 Å, c = 6.3029 Å
α = 90.00°, β = 107.59°, γ = 90.00°
With the nearest neighbours (Å) after each atom.
Space group C2/m (No. 12)
Unique sites:
Tb 0.0000 0.0000 0.0000  6 Tb 3.36-3.56, 6 Dy 3.48-3.56
Tb 0.0000 0.1284 0.5000  5 Tb 3.33-3.58, 6 Dy 3.40-3.52
Tb 0.0000 0.2595 0.0000  6 Dy 3.31-3.51, 3 Tb 3.36-3.58
Dy 0.1664 0.5000 0.1856  3 Dy 3.21-3.47, 5 Tb 3.50-3.56
Dy 0.1788 0.3677 0.6701  3 Dy 3.30-3.47, 5 Tb 3.31-3.52

Size of the total moment in μB/cell: 0.00
Formation energy in eV/atom: 0.14



## Tb3Dy13 (PBE-GGA)

Data for a geometry-optimized Tb3Dy13 structure.

a = 9.9976 Å, b = 10.0106 Å, c = 10.0125 Å
α = 90.00°, β = 90.00°, γ = 90.00°
With the nearest neighbours (Å) after each atom.
Space group Amm2 (No. 38)
Unique sites:
Tb 0.0000 0.0000 0.0000  10 Dy 3.54, 2 Tb 3.54
Tb 0.2500 0.0000 0.2501  11 Dy 3.54, 1 Tb 3.54
Dy 0.0000 0.0000 0.5000  10 Dy 3.54, 2 Tb 3.54
Dy 0.0000 0.2505 0.2500  8 Dy 3.54, 4 Tb 3.54
Dy 0.2502 0.0000 0.7499  11 Dy 3.53-3.54, 1 Tb 3.54
Dy 0.2501 0.2501 0.0000  9 Dy 3.54, 3 Tb 3.54
Dy 0.5000 0.0000 0.9997  10 Dy 3.53-3.54, 2 Tb 3.54
Dy 0.5000 0.0000 0.5003  10 Dy 3.53-3.54, 2 Tb 3.54
Dy 0.5000 0.2499 0.2500  10 Dy 3.54, 2 Tb 3.54

Size of the total moment in μB/cell: 0.00
Formation energy in eV/atom: 0.01



## TbDy2 (PBE-GGA)

Data for a geometry-optimized TbDy2 structure.

a = 9.2554 Å, b = 9.2554 Å, c = 9.2554 Å
α = 90.00°, β = 90.00°, γ = 90.00°
With the nearest neighbours (Å) after each atom.
Space group Fd-3m (No. 227, origin choice 2)
Unique sites:
Tb 0.1250 0.1250 0.1250  12 Dy 3.84, 4 Tb 4.01
Dy 0.0000 0.0000 0.5000  6 Dy 3.27

Size of the total moment in μB/cell: 2.90
Formation energy in eV/atom: 0.27